A crystal of ZrNbFe2W relaxed with PBEsol, computed with SCAN.

Geometry as POSCAR:
```
ZrNbFe2W
1.0
4.3494 0.0000 0.0000
0.0000 4.3494 0.0000
0.0000 0.0000 4.9096
Zr Nb Fe W
1 1 2 1
Direct
0.0000 0.0000 0.0000
0.5000 0.5000 0.0000
0.0000 0.5000 0.5000
0.5000 0.0000 0.5000
0.0000 0.0000 0.5000
```

Energy of formation from the pure elements, meV/atom: 1428
V, Å³ per cell: 92.9